Record 1
Density functional theory data (GGA-PBE) for a relaxed TaNi3As crystal.

The structure in POSCAR format:
```
TaNi3As
1.0
-1.530 -3.766 1.246
3.938 -1.605 -0.014
0.482 1.148 4.065
Ni Ta As
3 1 1
direct
0.000 0.500 0.000
0.500 0.000 0.000
0.000 0.000 0.500
0.500 0.500 0.500
0.000 0.000 0.000
```

Calculated values
SG: No. 221
Crystal system: cubic
Formation energy in eV/atom: 0.572
Polymorph energy (0 for the lowest one) in meV per atom: 0
Total magnetization in Bohr magnetons per cell: 0.52



Record 2
Density functional theory data (GGA-PBE) for a relaxed Ta2NiAs crystal.

The structure in POSCAR format:
```
Ta2NiAs
1.0
-1.489 -1.700 -2.860
3.024 -1.495 -0.686
0.287 -4.562 2.563
Ta As Ni
2 1 1
direct
0.500 0.289 0.295
0.000 0.966 0.944
0.000 0.692 0.490
0.500 0.553 0.771
```

Calculated values
SG: No. 6
Crystal system: monoclinic
Formation energy in eV/atom: -0.374
Total magnetization in Bohr magnetons per cell: 0.00



Record 3
Density functional theory data (GGA-PBE) for a relaxed TaNi4As crystal.

The structure in POSCAR format:
```
TaNi4As
1.0
0.000 3.373 3.373
3.373 0.000 3.373
3.373 3.373 0.000
As Ta Ni
1 1 4
direct
0.000 0.000 0.000
0.750 0.750 0.750
0.376 0.873 0.376
0.376 0.376 0.873
0.873 0.376 0.376
0.376 0.376 0.376
```

Calculated values
SG: No. 216
Crystal system: cubic
Formation energy in eV/atom: -0.062
Total magnetization in Bohr magnetons per cell: 0.64



Record 4
Density functional theory data (GGA-PBE) for a relaxed Ta3NiAs2 crystal.

The structure in POSCAR format:
```
Ta3NiAs2
1.0
3.698 0.000 0.000
0.000 9.838 0.000
0.000 0.000 10.574
Ta As Ni
12 8 4
direct
0.750 0.888 0.458
0.750 0.297 0.801
0.750 0.916 0.126
0.250 0.416 0.374
0.750 0.584 0.626
0.250 0.703 0.199
0.250 0.388 0.042
0.250 0.797 0.699
0.750 0.612 0.958
0.750 0.203 0.301
0.250 0.084 0.874
0.250 0.112 0.542
0.250 0.690 0.470
0.750 0.310 0.530
0.250 0.984 0.306
0.750 0.484 0.194
0.250 0.516 0.806
0.750 0.190 0.030
0.750 0.016 0.694
0.250 0.810 0.970
0.750 0.880 0.868
0.250 0.120 0.132
0.750 0.620 0.368
0.250 0.380 0.632
```

Calculated values
SG: No. 62
Crystal system: orthorhombic
Formation energy in eV/atom: -0.260
Total magnetization in Bohr magnetons per cell: 0.00